(1)
A relaxed structure of Na2AlCoAu, computed with PBE.

## Properties
Total DFT energy (no corrections) in eV/atom: -2.51

Cell and atoms, written as POSCAR:
```
Na2AlCoAu
1.0
-2.123 -4.735 2.036
-1.312 -1.273 -4.328
4.914 -2.524 -0.747
Na Co Au Al
2 1 1 1
direct
0.500 0.000 0.000 Na
0.000 0.000 0.500 Na
0.500 0.500 0.500 Co
0.000 0.500 0.000 Au
0.000 0.000 0.000 Al
```

(2)
A relaxed structure of Sm2NbC, computed with PBE.

## Properties
Total DFT energy (no corrections) in eV/atom: -6.65

Cell and atoms, written as POSCAR:
```
Sm2NbC
1.0
-1.520 -2.859 -1.137
1.106 -3.070 1.062
-5.974 -1.656 6.977
C Sm Nb
1 2 1
direct
0.500 0.500 0.500 C
0.114 0.114 0.658 Sm
0.886 0.886 0.342 Sm
0.000 0.000 0.000 Nb
```

(3)
A relaxed structure of BaSn2Os, computed with PBE.

## Properties
Total DFT energy (no corrections) in eV/atom: -5.16

Cell and atoms, written as POSCAR:
```
BaSn2Os
1.0
6.031 0.000 0.000
0.000 6.031 0.000
3.016 3.016 8.114
Sn Os Ba
4 2 2
direct
0.884 0.625 0.250 Sn
0.866 0.125 0.250 Sn
0.375 0.134 0.750 Sn
0.875 0.116 0.750 Sn
0.750 0.250 0.500 Os
0.000 0.000 0.000 Os
0.250 0.750 0.500 Ba
0.500 0.500 0.000 Ba
```

(4)
A relaxed structure of Dy12Ni3N5, computed with PBE.

## Properties
Total DFT energy (no corrections) in eV/atom: -6.50
Formation energy from raw total energies in kJ/mol of formula units: -1516

Cell and atoms, written as POSCAR:
```
Dy12Ni3N5
1.0
-4.423 -11.406 4.620
6.864 6.105 9.306
-10.118 7.476 -3.566
Dy N Ni
48 20 12
direct
0.818 0.914 0.294 Dy
0.682 0.476 0.596 Dy
0.880 0.586 0.904 Dy
0.182 0.096 0.976 Dy
0.294 0.880 0.976 Dy
0.024 0.404 0.818 Dy
0.096 0.182 0.476 Dy
0.206 0.524 0.620 Dy
0.596 0.976 0.682 Dy
0.120 0.414 0.096 Dy
0.586 0.880 0.404 Dy
0.794 0.476 0.380 Dy
0.818 0.904 0.024 Dy
0.706 0.586 0.182 Dy
0.318 0.524 0.404 Dy
0.086 0.182 0.206 Dy
0.524 0.318 0.904 Dy
0.682 0.206 0.586 Dy
0.976 0.596 0.182 Dy
0.414 0.120 0.596 Dy
0.904 0.086 0.880 Dy
0.294 0.414 0.818 Dy
0.914 0.818 0.794 Dy
0.914 0.096 0.620 Dy
0.086 0.904 0.380 Dy
0.524 0.206 0.120 Dy
0.706 0.120 0.024 Dy
0.024 0.620 0.706 Dy
0.476 0.682 0.096 Dy
0.904 0.818 0.524 Dy
0.620 0.596 0.914 Dy
0.182 0.086 0.706 Dy
0.120 0.706 0.524 Dy
0.404 0.380 0.586 Dy
0.620 0.024 0.206 Dy
0.206 0.682 0.086 Dy
0.586 0.706 0.682 Dy
0.318 0.794 0.414 Dy
0.404 0.024 0.318 Dy
0.794 0.318 0.914 Dy
0.414 0.294 0.318 Dy
0.476 0.794 0.880 Dy
0.880 0.294 0.476 Dy
0.380 0.976 0.794 Dy
0.096 0.914 0.120 Dy
0.596 0.620 0.414 Dy
0.976 0.380 0.294 Dy
0.380 0.404 0.086 Dy
0.750 0.625 0.375 N
0.375 0.250 0.125 N
0.875 0.625 0.750 N
0.375 0.125 0.750 N
0.000 0.500 0.000 N
0.625 0.875 0.250 N
0.875 0.250 0.625 N
0.500 0.500 0.000 N
0.000 0.500 0.500 N
0.125 0.750 0.375 N
0.500 0.000 0.000 N
0.500 0.000 0.500 N
0.500 0.500 0.500 N
0.250 0.375 0.625 N
0.125 0.375 0.250 N
0.625 0.750 0.875 N
0.250 0.875 0.125 N
0.000 0.000 0.500 N
0.750 0.125 0.875 N
0.000 0.000 0.000 N
0.750 0.875 0.625 Ni
0.250 0.625 0.875 Ni
0.375 0.625 0.250 Ni
0.875 0.750 0.125 Ni
0.125 0.250 0.875 Ni
0.875 0.125 0.250 Ni
0.625 0.375 0.750 Ni
0.125 0.875 0.750 Ni
0.250 0.125 0.375 Ni
0.625 0.250 0.375 Ni
0.750 0.375 0.125 Ni
0.375 0.750 0.625 Ni
```

(5)
A relaxed structure of KRb2O6, computed with PBE.

## Properties
Total DFT energy (no corrections) in eV/atom: -4.43
Formation energy from raw total energies in kJ/mol of formula units: -684
Energy above the lowest structure with this stoichiometry in eV per atom: 0.017

Cell and atoms, written as POSCAR:
```
KRb2O6
1.0
3.761 0.000 1.190
1.228 6.440 2.656
-0.168 0.260 7.067
K Rb O
1 2 6
direct
0.000 0.000 0.000 K
0.814 0.686 0.686 Rb
0.186 0.314 0.314 Rb
0.607 0.670 0.117 O
0.393 0.883 0.330 O
0.607 0.117 0.670 O
0.500 0.324 0.676 O
0.393 0.330 0.883 O
0.500 0.676 0.324 O
```

(6)
A relaxed structure of NaCd4Hg8, computed with PBE.

## Properties
Total DFT energy (no corrections) in eV/atom: -0.56
Energy above the lowest structure with this stoichiometry in eV per atom: 0.044

Cell and atoms, written as POSCAR:
```
NaCd4Hg8
1.0
9.546 1.733 1.236
6.120 7.529 1.236
6.120 3.618 6.717
Cd Hg Na
4 8 1
direct
0.500 0.500 0.500 Cd
0.000 0.500 0.500 Cd
0.500 0.500 0.000 Cd
0.500 0.000 0.500 Cd
0.248 0.248 0.783 Hg
0.217 0.752 0.752 Hg
0.248 0.783 0.248 Hg
0.208 0.208 0.208 Hg
0.752 0.217 0.752 Hg
0.792 0.792 0.792 Hg
0.752 0.752 0.217 Hg
0.783 0.248 0.248 Hg
0.000 0.000 0.000 Na
```

(7)
A relaxed structure of NdCu9Ge2, computed with PBE.

## Properties
Total DFT energy (no corrections) in eV/atom: -4.29

Cell and atoms, written as POSCAR:
```
NdCu9Ge2
1.0
5.080 0.000 0.000
2.540 4.400 0.000
2.540 1.467 7.883
Cu Ge Nd
9 2 1
direct
0.920 0.410 0.260 Cu
0.590 0.590 0.740 Cu
0.590 0.080 0.740 Cu
0.335 0.335 0.996 Cu
0.410 0.410 0.260 Cu
0.410 0.920 0.260 Cu
0.080 0.590 0.740 Cu
0.500 0.500 0.500 Cu
0.665 0.665 0.004 Cu
0.146 0.146 0.563 Ge
0.854 0.854 0.437 Ge
0.000 0.000 0.000 Nd
```

(8)
A relaxed structure of LiHfTlCd, computed with PBE.

## Properties
Total DFT energy (no corrections) in eV/atom: -3.77

Cell and atoms, written as POSCAR:
```
LiHfTlCd
1.0
-0.355 2.269 -4.344
-4.112 -0.412 -2.659
-2.990 3.865 -0.516
Li Cd Hf Tl
1 1 1 1
direct
0.500 0.500 0.500 Li
0.750 0.750 0.750 Cd
0.000 0.000 0.000 Hf
0.250 0.250 0.250 Tl
```

(9)
A relaxed structure of Al3Os5, computed with PBE.

## Properties
Total DFT energy (no corrections) in eV/atom: -8.56
Energy above the lowest structure with this stoichiometry in eV per atom: 0.000

Cell and atoms, written as POSCAR:
```
Al3Os5
1.0
3.037 -4.298 0.000
3.037 4.298 0.000
0.000 0.000 4.307
Os Al
5 3
direct
0.000 0.500 0.000 Os
0.249 0.249 0.500 Os
0.500 0.000 0.000 Os
0.000 0.000 0.000 Os
0.751 0.751 0.500 Os
0.748 0.252 0.500 Al
0.500 0.500 0.000 Al
0.252 0.748 0.500 Al
```

(10)
A relaxed structure of Pu3Si8Tc3, computed with PBE.

## Properties
Total DFT energy (no corrections) in eV/atom: -8.80
Formation energy from raw total energies in kJ/mol of formula units: -549

Cell and atoms, written as POSCAR:
```
Pu3Si8Tc3
1.0
-1.306 1.114 3.750
-7.185 -3.039 0.667
1.051 -6.315 4.509
Si Tc Pu
8 3 3
direct
0.375 0.907 0.344 Si
0.168 0.461 0.202 Si
0.832 0.798 0.539 Si
0.832 0.539 0.798 Si
0.168 0.202 0.461 Si
0.625 0.093 0.656 Si
0.375 0.344 0.907 Si
0.625 0.656 0.093 Si
0.500 0.000 0.000 Tc
0.000 0.224 0.776 Tc
0.000 0.776 0.224 Tc
0.820 0.180 0.180 Pu
0.500 0.500 0.500 Pu
0.180 0.820 0.820 Pu
```

(11)
A relaxed structure of Pm4NdDyHo2, computed with PBE.

## Properties
Total DFT energy (no corrections) in eV/atom: -4.67

Cell and atoms, written as POSCAR:
```
Pm4NdDyHo2
1.0
3.617 0.000 0.000
0.000 6.243 -0.130
0.000 2.348 11.708
Nd Pm Dy Ho
1 4 1 2
direct
0.500 0.500 0.000 Nd
0.500 0.250 0.749 Pm
0.500 0.750 0.251 Pm
0.000 0.248 0.253 Pm
0.000 0.752 0.747 Pm
0.000 0.500 0.500 Dy
0.000 0.000 0.000 Ho
0.500 0.000 0.500 Ho
```

(12)
A relaxed structure of Pm6NdTh, computed with PBE.

## Properties
Total DFT energy (no corrections) in eV/atom: -4.89
Energy above the lowest structure with this stoichiometry in eV per atom: 0.165

Cell and atoms, written as POSCAR:
```
Pm6NdTh
1.0
6.345 -0.148 2.387
0.269 6.651 0.103
1.045 -0.072 6.842
Pm Nd Th
6 1 1
direct
0.465 0.243 0.000 Pm
0.082 0.753 0.495 Pm
0.918 0.247 0.505 Pm
0.577 0.753 0.505 Pm
0.423 0.247 0.495 Pm
0.535 0.757 0.000 Pm
0.000 0.500 0.000 Nd
0.000 0.000 0.000 Th
```

(13)
A relaxed structure of ZrNbOs2Ru, computed with PBE.

## Properties
Total DFT energy (no corrections) in eV/atom: -8.13

Cell and atoms, written as POSCAR:
```
ZrNbOs2Ru
1.0
4.677 0.000 0.000
0.000 4.949 0.000
0.000 0.000 4.677
Ru Os Zr Nb
1 2 1 1
direct
0.500 0.500 0.500 Ru
0.000 0.000 0.500 Os
0.500 0.000 0.000 Os
0.000 0.500 0.000 Zr
0.000 0.000 0.000 Nb
```

(14)
A relaxed structure of BaLa3Pt, computed with PBE.

## Properties
Total DFT energy (no corrections) in eV/atom: -4.64
Energy above the lowest structure with this stoichiometry in eV per atom: 0.322

Cell and atoms, written as POSCAR:
```
BaLa3Pt
1.0
4.147 -2.394 0.000
0.000 4.788 0.000
0.000 0.000 23.598
La Ba Pt
6 2 2
direct
0.667 0.333 0.128 La
0.333 0.667 0.872 La
0.333 0.667 0.628 La
0.000 0.000 0.250 La
0.000 0.000 0.750 La
0.667 0.333 0.372 La
0.000 0.000 0.000 Ba
0.000 0.000 0.500 Ba
0.333 0.667 0.750 Pt
0.667 0.333 0.250 Pt
```

(15)
A relaxed structure of Ba2NaAs2O6, computed with PBE.

## Properties
Total DFT energy (no corrections) in eV/atom: -5.76
Formation energy from raw total energies in kJ/mol of formula units: -1842

Cell and atoms, written as POSCAR:
```
Ba2NaAs2O6
1.0
-0.900 5.047 -3.241
-0.674 -0.341 -6.018
-6.617 0.944 -2.368
O Ba Na As
6 2 1 2
direct
0.242 0.747 0.264 O
0.253 0.253 0.736 O
0.747 0.242 0.264 O
0.758 0.253 0.736 O
0.253 0.758 0.736 O
0.747 0.747 0.264 O
0.783 0.783 0.650 Ba
0.217 0.217 0.350 Ba
0.000 0.000 0.000 Na
0.435 0.435 0.694 As
0.565 0.565 0.306 As
```

(16)
A relaxed structure of LaTa2TiH, computed with PBE.

## Properties
Total DFT energy (no corrections) in eV/atom: -6.38

Cell and atoms, written as POSCAR:
```
LaTa2TiH
1.0
4.610 0.000 0.000
0.000 6.117 0.000
0.000 0.000 4.610
La Ta Ti H
1 2 1 1
direct
0.000 0.500 0.000 La
0.500 0.000 0.000 Ta
0.000 0.000 0.500 Ta
0.000 0.000 0.000 Ti
0.500 0.500 0.500 H
```

(17)
A relaxed structure of Na3TeH, computed with PBE.

## Properties
Total DFT energy (no corrections) in eV/atom: -2.63
Energy above the lowest structure with this stoichiometry in eV per atom: 0.103

Cell and atoms, written as POSCAR:
```
Na3TeH
1.0
4.076 0.000 7.231
-2.038 3.530 7.231
-2.038 -3.530 7.231
Te Na H
2 6 2
direct
0.000 0.000 0.000 Te
0.500 0.500 0.500 Te
0.750 0.052 0.448 Na
0.448 0.750 0.052 Na
0.250 0.948 0.552 Na
0.948 0.552 0.250 Na
0.552 0.250 0.948 Na
0.052 0.448 0.750 Na
0.750 0.750 0.750 H
0.250 0.250 0.250 H
```

(18)
A relaxed structure of YIn2FeN, computed with PBE.

## Properties
Total DFT energy (no corrections) in eV/atom: -5.62
Formation energy from raw total energies in kJ/mol of formula units: 61

Cell and atoms, written as POSCAR:
```
YIn2FeN
1.0
5.417 0.000 0.000
0.000 3.474 0.000
0.000 0.000 5.417
In N Fe Y
2 1 1 1
direct
0.500 0.000 0.000 In
0.000 0.000 0.500 In
0.000 0.500 0.000 N
0.000 0.000 0.000 Fe
0.500 0.500 0.500 Y
```

(19)
A relaxed structure of Mg5In2SnRh2, computed with PBE.

## Properties
Total DFT energy (no corrections) in eV/atom: -3.43

Cell and atoms, written as POSCAR:
```
Mg5In2SnRh2
1.0
-1.809 0.185 3.146
8.598 -3.804 5.168
3.557 10.017 1.455
Mg Rh In Sn
10 4 4 2
direct
0.500 0.424 0.289 Mg
0.500 0.289 0.576 Mg
0.500 0.000 0.500 Mg
0.500 0.076 0.789 Mg
0.500 0.500 0.000 Mg
0.500 0.789 0.924 Mg
0.500 0.711 0.424 Mg
0.500 0.576 0.711 Mg
0.500 0.924 0.211 Mg
0.500 0.211 0.076 Mg
0.000 0.123 0.623 Rh
0.000 0.377 0.123 Rh
0.000 0.877 0.377 Rh
0.000 0.623 0.877 Rh
0.000 0.831 0.669 In
0.000 0.669 0.169 In
0.000 0.331 0.831 In
0.000 0.169 0.331 In
0.000 0.000 0.000 Sn
0.000 0.500 0.500 Sn
```

(20)
A relaxed structure of AgSn2ICl4, computed with PBE.

## Properties
Total DFT energy (no corrections) in eV/atom: -3.21
Formation energy from raw total energies in kJ/mol of formula units: -570

Cell and atoms, written as POSCAR:
```
AgSn2ICl4
1.0
-3.314 -1.636 1.815
-1.568 -5.927 -3.535
3.613 -6.835 5.106
Cl Ag Sn I
4 1 2 1
direct
0.626 0.679 0.069 Cl
0.178 0.903 0.741 Cl
0.822 0.097 0.259 Cl
0.374 0.321 0.931 Cl
0.000 0.000 0.000 Ag
0.185 0.392 0.237 Sn
0.815 0.608 0.763 Sn
0.500 0.500 0.500 I
```